(1)
Compound: YS
Source: Alexandria via LeMat-Bulk
Functional: PBE-GGA
Structure: relaxed

Magnetic moment = 0.00 μB/cell
Calculated volume = 422.29 Å³ per cell
Formation energy from raw total energies = -2.85 eV per formula unit
Density of states at the Fermi level = 8.323 states/eV/cell
ρ = 2.85 g/cm3

The structure in POSCAR format:
```
YS
1.0
7.5025 0.0000 0.0000
0.0000 7.5025 0.0000
0.0000 0.0000 7.5025
Y S
6 6
Cartesian
1.8756 3.7512 0.0000
5.6268 3.7512 0.0000
3.7512 0.0000 1.8756
3.7512 0.0000 5.6268
0.0000 1.8756 3.7512
0.0000 5.6268 3.7512
1.8756 0.0000 3.7512
5.6268 0.0000 3.7512
0.0000 3.7512 1.8756
0.0000 3.7512 5.6268
3.7512 1.8756 0.0000
3.7512 5.6268 0.0000
```

=====

(2)
Compound: Y5S6
Source: Alexandria via LeMat-Bulk
Functional: PBE-GGA
Structure: relaxed

Magnetic moment = 0.00 μB/cell
Calculated volume = 253.08 Å³ per cell
Formation energy from raw total energies = -22.87 eV per formula unit
Density of states at the Fermi level = 4.167 states/eV/cell
ρ = 4.18 g/cm3

The structure in POSCAR format:
```
Y5S6
1.0
-5.0928 3.6914 2.5561
-5.5488 -3.0613 2.3825
0.9673 0.8984 6.6211
Y S
5 6
Cartesian
-2.0628 2.2949 4.5886
-3.5404 0.2212 1.6437
-7.1012 0.4089 3.2949
-4.0877 -1.0146 5.3335
-5.5866 2.5432 6.2262
-3.0894 3.4453 6.9086
-1.0361 1.1446 2.2686
-5.0986 0.1776 7.6114
-8.1172 1.5702 5.5925
-4.5757 1.3509 3.9484
-1.5571 -0.0417 5.9672
```

=====

(3)
Compound: Y2S3
Source: Alexandria via LeMat-Bulk
Functional: PBE-GGA
Structure: relaxed

Magnetic moment = 0.00 μB/cell
Calculated volume = 435.72 Å³ per cell
Formation energy from raw total energies = -10.35 eV per formula unit
ρ = 4.18 g/cm3

The structure in POSCAR format:
```
Y2S3
1.0
3.8825 0.0000 0.0000
0.0000 10.5126 0.0000
0.0000 0.0000 10.6753
Y S
8 12
Cartesian
0.9706 1.9664 5.2312
0.9706 3.2899 10.5688
2.9119 8.5462 5.4441
2.9119 7.2227 0.1064
2.9119 5.2141 7.3879
2.9119 0.0422 2.0503
0.9706 5.2985 3.2874
0.9706 10.4704 8.6250
0.9706 6.5873 5.8279
0.9706 9.1816 0.4903
2.9119 3.9253 4.8474
2.9119 1.3310 10.1850
2.9119 0.5810 6.6099
2.9119 4.6753 1.2722
0.9706 9.9316 4.0654
0.9706 5.8373 9.4030
0.9706 3.2021 7.7665
0.9706 2.0542 2.4288
2.9119 7.3105 2.9088
2.9119 8.4584 8.2465
```

=====

(4)
Compound: Y2S3
Source: Alexandria via LeMat-Bulk
Functional: PBE-GGA
Structure: relaxed

Magnetic moment = 0.00 μB/cell
Calculated volume = 723.88 Å³ per cell
Formation energy from raw total energies = -10.39 eV per formula unit
Density of states at the Fermi level = 0.000 states/eV/cell
ρ = 3.77 g/cm3

The structure in POSCAR format:
```
Y2S3
1.0
4.0443 0.0000 0.0000
0.0000 10.2278 -0.0032
0.0000 2.6534 17.4992
Y S
12 18
Cartesian
1.0111 8.3484 0.3562
3.0332 4.5329 17.1398
1.0111 10.0995 7.5187
3.0332 2.7818 9.9773
1.0111 3.8173 13.6773
3.0332 9.0640 3.8187
1.0111 10.2208 12.6072
3.0332 2.6605 4.8888
1.0111 6.3085 6.9863
3.0332 6.5728 10.5097
1.0111 4.9157 2.0071
3.0332 7.9656 15.4889
1.0111 11.2237 10.0622
3.0332 1.6576 7.4338
1.0111 9.7937 15.2740
3.0332 3.0876 2.2220
1.0111 6.5013 16.9237
3.0332 6.3800 0.5723
1.0111 4.4521 4.9320
3.0332 8.4292 12.5640
1.0111 10.8628 4.6918
3.0332 2.0185 12.8042
1.0111 4.6396 11.0419
3.0332 8.2417 6.4541
1.0111 2.9524 16.1754
3.0332 9.9289 1.3206
1.0111 7.4491 3.1722
3.0332 5.4322 14.3238
1.0111 7.8802 9.2969
3.0332 5.0011 8.1991
```

=====

(5)
Compound: YS
Source: Alexandria via LeMat-Bulk
Functional: PBE-GGA
Structure: relaxed

Magnetic moment = 0.00 μB/cell
Calculated volume = 319.37 Å³ per cell
Formation energy from raw total energies = -3.40 eV per formula unit
Density of states at the Fermi level = 6.167 states/eV/cell
ρ = 3.77 g/cm3

The structure in POSCAR format:
```
YS
1.0
3.8720 0.0000 0.0000
0.0000 10.4837 0.0000
0.0000 0.0000 7.8676
Y S
6 6
Cartesian
0.0000 2.5089 6.9459
0.0000 7.9748 6.9459
0.0000 7.7508 3.0121
0.0000 2.7330 3.0121
1.9360 0.0000 4.7711
1.9360 5.2419 0.8374
1.9360 7.7601 4.9551
1.9360 2.7236 4.9551
1.9360 2.5183 1.0214
1.9360 7.9655 1.0214
0.0000 0.0000 2.9127
0.0000 5.2419 6.8464
```

=====

(6)
Compound: Y3S2
Source: Alexandria via LeMat-Bulk
Functional: PBE-GGA
Structure: relaxed

Magnetic moment = 0.66 μB/cell
Calculated volume = 121.46 Å³ per cell
Formation energy from raw total energies = -7.97 eV per formula unit
Density of states at the Fermi level = 3.547 states/eV/cell
ρ = 4.52 g/cm3

The structure in POSCAR format:
```
Y3S2
1.0
-3.5797 -1.0355 -0.9252
-0.7828 -1.2426 -3.5476
0.4263 -9.6822 1.2194
Y S
3 2
Cartesian
0.0000 0.0000 0.0000
-3.1393 -8.0821 -2.7099
-0.7969 -3.8781 -0.5436
-1.3515 -8.9059 -0.7380
-2.5847 -3.0544 -2.5154
```

=====

(7)
Compound: YS
Source: Alexandria via LeMat-Bulk
Functional: PBE-GGA
Structure: relaxed

Magnetic moment = 1.34 μB/cell
Calculated volume = 415.56 Å³ per cell
Formation energy from raw total energies = -3.55 eV per formula unit
Density of states at the Fermi level = 10.816 states/eV/cell
ρ = 3.87 g/cm3

The structure in POSCAR format:
```
YS
1.0
8.7281 0.0000 0.0000
0.0000 8.7281 0.0000
0.0000 0.0000 5.4551
Y S
8 8
Cartesian
2.6915 7.7892 0.0000
6.0366 0.9389 0.0000
0.9389 2.6915 0.0000
7.7892 6.0366 0.0000
7.0555 3.4252 2.7275
1.6726 5.3029 2.7275
5.3029 7.0555 2.7275
3.4252 1.6726 2.7275
3.4886 1.7500 0.0000
5.2395 6.9781 0.0000
6.9781 3.4886 0.0000
1.7500 5.2395 0.0000
7.8526 6.1140 2.7275
0.8754 2.6141 2.7275
2.6141 7.8526 2.7275
6.1140 0.8754 2.7275
```

=====

(8)
Compound: YS
Source: Alexandria via LeMat-Bulk
Functional: PBE-GGA
Structure: relaxed

Magnetic moment = 3.74 μB/cell
Calculated volume = 596.94 Å³ per cell
Formation energy from raw total energies = -2.79 eV per formula unit
Density of states at the Fermi level = 12.029 states/eV/cell
ρ = 2.69 g/cm3

The structure in POSCAR format:
```
YS
1.0
-7.5776 3.6042 0.6962
-0.4557 -2.5082 8.0248
3.6425 7.1843 2.4524
Y S
8 8
Cartesian
-1.5420 2.9079 3.9239
-0.5935 4.2997 7.0423
-2.7132 6.1189 4.8610
-3.9330 3.2341 6.5196
-3.7374 7.0480 9.5106
-5.9757 3.7637 2.1518
-0.9735 -0.5295 7.2991
1.9049 6.2783 3.3853
-0.7393 1.3941 1.8813
1.3744 4.4956 8.8304
-3.3493 8.5498 3.9696
-6.0675 2.1211 7.6656
-2.9347 5.5343 7.4680
-4.0078 3.9597 3.9399
-1.6096 1.9014 6.4077
-0.2296 5.1652 4.5313
```

=====

What is the calculated volume in the second record? 253.08 Å³ per cell

=====

Look up the magnetic moment of the fifth one. 0.00 μB/cell